Crystalline Fe2Tc at its relaxed geometry, computed with GGA-PBEsol.

**Electronic total energy**: -9.746 eV per atom
**Spin magnetization**: 0.0 μB per cell
**N(E_F)**: 1.125 states/eV/atom
**Energy above the lowest structure with this stoichiometry**: 0.0000 eV/atom
**ΔH_f (0 K)**: -0.015 eV per atom

Cell lengths 7.649, 4.385, 4.005 Å; angles 90.00, 90.00, 90.00 degrees
Space group Cmcm (No. 63)
One atom of each set of equivalent atoms:
Fe: 0.174 0.164 0.250 (multiplicity 8)
Tc: 0.000 0.315 0.750 (multiplicity 4)